Compound: LaNiTe2
Source: the Alexandria database
Functional: PBE-GGA
Structure: optimized geometry

Unit cell a=5.2535 b=5.2535 c=5.2535 alpha=60.00 beta=60.00 gamma=60.00
Last column: nearest neighbours and their distance in Å.
Sites, in units of the cell vectors:
La 0.0000 0.0000 0.0000  4 Te 3.22, 4 Ni 3.22
Ni 0.2500 0.2500 0.2500  4 Te 3.22, 4 La 3.22
Te 0.5000 0.5000 0.5000  4 Te 3.22, 4 Ni 3.22
Te 0.7500 0.7500 0.7500  4 Te 3.22, 4 La 3.22

Summary:
total magnetization	0.007	μB/f.u.
Fermi-level density of states	6.00	states/eV/f.u.
uncorrected formation energy	-0.26	eV per atom